This record from the Alexandria database describes crystalline Mo4P5O24 at its relaxed geometry. The functional is PBE with a Hubbard U.

Properties
Its total moment is 2.00 μB per cell. The theoretical density is 3079 kg/m3. As for the volume: 15.08 A^3/atom. The symmetry is No. 9. The energy is -7.163 eV/atom.

Unit cell a=8.4618 b=9.8095 c=14.0132 alpha=77.39 beta=72.43 gamma=64.44
Last column: magnetic moment on the atom in μB.
Atoms (fractional coordinates):
1 Mo 0.4721 0.5002 0.1843  0.00
2 O 0.2479 0.9917 0.0306  0.01
3 P 0.7577 0.5498 0.9595  0.00
4 O 0.0512 0.5753 0.0703  0.00
5 O 0.9722 0.6238 0.4210  0.01
6 O 0.8390 0.2187 0.6030  0.00
7 O 0.6877 0.9347 0.4276  0.01
8 O 0.8502 0.8272 0.7418  0.00
9 O 0.0351 0.3635 0.5786  0.00
10 O 0.5649 0.2008 0.4765  0.00
11 Mo 0.0926 0.2153 0.9881  1.03
12 O 0.4230 0.8020 0.5284  0.01
13 O 0.3033 0.0752 0.5703  0.00
14 P 0.2620 0.9526 0.5400  0.00
15 O 0.7994 0.9849 0.5583  0.00
16 O 0.2772 0.2671 0.4015  0.00
17 O 0.2651 0.5014 0.4765  0.00
18 O 0.1511 0.1671 0.2555  0.00
19 O 0.1052 0.9262 0.6228  0.00
20 O 0.7570 0.0015 0.9765  0.00
21 P 0.2453 0.4526 0.0400  0.00
22 Mo 0.7040 0.7153 0.4881  1.03
23 O 0.9830 0.1238 0.9210  0.01
24 O 0.9420 0.2356 0.1015  -0.11
25 O 0.5847 0.1087 0.7336  0.00
26 O 0.7578 0.7008 0.9765  0.00
27 O 0.2774 0.2092 0.8445  -0.01
28 Mo 0.8434 0.0002 0.6843  0.00
29 P 0.7329 0.0498 0.4595  0.00
30 O 0.4390 0.3859 0.7657  0.00
31 P 0.8377 0.3728 0.6033  0.00
32 O 0.8871 0.0829 0.3783  0.00
33 O 0.5729 0.6087 0.2337  0.00
34 Mo 0.1510 0.9978 0.3164  0.01
35 P 0.5983 0.7500 0.2507  0.00
36 O 0.7566 0.4248 0.7128  0.00
37 O 0.4094 0.8859 0.2659  0.00
38 Mo 0.9041 0.7874 0.0152  0.02
39 O 0.6514 0.5830 0.8784  0.00
40 O 0.8816 0.0684 0.7926  0.00
41 O 0.5807 0.3272 0.2418  0.00
42 P 0.8164 0.1253 0.8994  0.00
43 O 0.4264 0.6671 0.7554  0.00
44 O 0.6576 0.4848 0.0584  0.00
45 O 0.3437 0.5194 0.9409  0.00
46 O 0.9500 0.4346 0.9275  0.01
47 O 0.2574 0.5684 0.2926  0.00
48 O 0.6585 0.2770 0.9035  0.00
49 O 0.7298 0.4917 0.5307  0.01
50 P 0.1863 0.8728 0.1032  0.00
51 O 0.3395 0.7186 0.1029  0.00
52 O 0.0229 0.8635 0.0786  0.00
53 O 0.7209 0.7357 0.6015  -0.11
54 O 0.1060 0.9248 0.2127  0.00
55 O 0.7195 0.7952 0.1559  0.00
56 O 0.1957 0.0193 0.4410  0.00
57 O 0.3459 0.4263 0.1227  0.00
58 P 0.4010 0.2500 0.7507  0.00
59 P 0.1589 0.6253 0.3994  0.00
60 Mo 0.5346 0.4979 0.8164  0.01
61 O 0.0540 0.7671 0.9015  0.00
62 O 0.1610 0.7770 0.4035  0.00
63 O 0.6690 0.7092 0.3445  -0.01
64 O 0.2466 0.3020 0.0284  0.01
65 O 0.3292 0.2952 0.6560  0.00
66 Mo 0.2932 0.2874 0.5152  0.02